Entry 1:
A relaxed structure of AcLaTb2As4, computed with PBE-GGA.

Formation energy (kJ/mol of formula units): -1165
DFT total energy (Ry per atom): -0.44986

abc: 7.453 4.305 7.453
angles: 90.00 109.45 90.00
Space group P2/m (No. 10)
Inequivalent atoms, fractional coordinates:
1 Ac 0.000 0.000 0.000
2 La 0.500 0.500 0.000
3 Tb 0.000 0.500 0.500
4 Tb 0.500 0.000 0.500
5 As 0.249 0.000 0.735
6 As 0.261 0.500 0.269

---

Entry 2:
A relaxed structure of Ac2LaTbAs4, computed with PBE-GGA.

Formation energy (kJ/mol of formula units): -1152
DFT total energy (Ry per atom): -0.44385

abc: 7.628 4.410 7.635
angles: 90.00 109.42 90.00
Space group P2/m (No. 10)
Inequivalent atoms, fractional coordinates:
1 Ac 0.000 0.000 0.000
2 Ac 0.500 0.500 0.000
3 La 0.000 0.500 0.500
4 Tb 0.500 0.000 0.500
5 As 0.251 0.000 0.736
6 As 0.261 0.500 0.268

---

Entry 3:
A relaxed structure of AcLa3Tb2As6, computed with PBE-GGA.

Formation energy (kJ/mol of formula units): -1761
DFT total energy (Ry per atom): -0.45509

abc: 7.507 13.002 7.496
angles: 90.00 109.54 90.00
Space group C2/m (No. 12)
Inequivalent atoms, fractional coordinates:
1 Ac 0.000 0.000 0.000
2 La 0.000 0.165 0.500
3 La 0.000 0.500 0.500
4 Tb 0.000 0.333 0.000
5 As 0.236 0.500 0.244
6 As 0.245 0.327 0.754

---

Entry 4:
A relaxed structure of AcLaTeAs, computed with PBE-GGA.

Raw formation energy (eV/atom): -1.599
DFT total energy (Ry per atom): -0.42674

abc: 4.5163 4.5163 22.8080
angles: 90.00 90.00 120.00
Space group R3m (No. 160, hexagonal axes)
Inequivalent atoms, fractional coordinates:
1 Ac 0.0000 0.0000 0.0000
2 La 0.0000 0.0000 0.4822
3 Te 0.0000 0.0000 0.2379
4 As 0.0000 0.0000 0.7445

---

Entry 5:
A relaxed structure of AcLa3Th2As6, computed with PBE-GGA.

Formation energy (kJ/mol of formula units): -1755
DFT total energy (Ry per atom): -0.48886

abc: 7.551 13.083 7.540
angles: 90.00 109.51 90.00
Space group C2/m (No. 12)
Inequivalent atoms, fractional coordinates:
1 Ac 0.000 0.000 0.000
2 La 0.000 0.164 0.500
3 La 0.000 0.500 0.500
4 Th 0.000 0.333 0.000
5 As 0.237 0.500 0.245
6 As 0.245 0.328 0.753

---

Entry 6:
A relaxed structure of Ac3LaTh2As6, computed with PBE-GGA.

Formation energy (kJ/mol of formula units): -1716
DFT total energy (Ry per atom): -0.47636

abc: 7.626 13.215 7.663
angles: 90.00 109.37 90.00
Space group C2/m (No. 12)
Inequivalent atoms, fractional coordinates:
1 Ac 0.000 0.000 0.000
2 Ac 0.000 0.335 0.000
3 La 0.000 0.500 0.500
4 Th 0.000 0.167 0.500
5 As 0.238 0.000 0.732
6 As 0.247 0.330 0.733

---

Entry 7:
A relaxed structure of Ac2LaTh3As6, computed with PBE-GGA.

Formation energy (kJ/mol of formula units): -1690
DFT total energy (Ry per atom): -0.49499

abc: 7.546 13.052 7.590
angles: 90.00 109.35 90.00
Space group C2/m (No. 12)
Inequivalent atoms, fractional coordinates:
1 Ac 0.000 0.166 0.000
2 La 0.000 0.500 0.000
3 Th 0.000 0.000 0.500
4 Th 0.000 0.332 0.500
5 As 0.239 0.500 0.733
6 As 0.247 0.164 0.734

---

Entry 8:
A relaxed structure of AcLaTh2As4, computed with PBE-GGA.

Formation energy (kJ/mol of formula units): -1134
DFT total energy (Ry per atom): -0.49816

abc: 7.519 4.344 7.565
angles: 90.00 109.41 90.00
Space group P2/m (No. 10)
Inequivalent atoms, fractional coordinates:
1 Ac 0.000 0.000 0.000
2 La 0.500 0.500 0.000
3 Th 0.000 0.500 0.500
4 Th 0.500 0.000 0.500
5 As 0.250 0.000 0.737
6 As 0.259 0.500 0.266

---

Entry 9:
A relaxed structure of Ac2LaTmAs4, computed with PBE-GGA.

Formation energy (kJ/mol of formula units): -1135
DFT total energy (Ry per atom): -0.44074

abc: 7.597 4.394 7.602
angles: 90.00 109.44 90.00
Space group P2/m (No. 10)
Inequivalent atoms, fractional coordinates:
1 Ac 0.000 0.000 0.000
2 Ac 0.500 0.500 0.000
3 La 0.000 0.500 0.500
4 Tm 0.500 0.000 0.500
5 As 0.252 0.000 0.734
6 As 0.264 0.500 0.270

---

Entry 10:
A relaxed structure of AcLa2TmAs4, computed with PBE-GGA.

Formation energy (kJ/mol of formula units): -1148
DFT total energy (Ry per atom): -0.44951

abc: 7.527 4.356 7.532
angles: 90.00 109.42 90.00
Space group P2/m (No. 10)
Inequivalent atoms, fractional coordinates:
1 Ac 0.000 0.000 0.000
2 La 0.500 0.000 0.500
3 La 0.500 0.500 0.000
4 Tm 0.000 0.500 0.500
5 As 0.242 0.000 0.736
6 As 0.251 0.500 0.263

---

Entry 11:
A relaxed structure of Ac2LaUAs4, computed with PBE-GGA.

Formation energy (kJ/mol of formula units): -964
DFT total energy (Ry per atom): -0.48709

abc: 8.761 8.785 12.370
angles: 90.00 90.00 90.00
Space group F222 (No. 22)
Inequivalent atoms, fractional coordinates:
1 Ac 0.000 0.000 0.000
2 Ac 0.250 0.250 0.250
3 La 0.000 0.000 0.500
4 U 0.250 0.250 0.750
5 As 0.000 0.000 0.254
6 As 0.250 0.250 0.516

---

Entry 12:
A relaxed structure of AcLa2YAs4, computed with PBE-GGA.

Formation energy (kJ/mol of formula units): -1169
DFT total energy (Ry per atom): -0.46981

abc: 7.549 4.368 7.557
angles: 90.00 109.42 90.00
Space group P2/m (No. 10)
Inequivalent atoms, fractional coordinates:
1 Ac 0.000 0.000 0.000
2 La 0.500 0.000 0.500
3 La 0.500 0.500 0.000
4 Y 0.000 0.500 0.500
5 As 0.245 0.000 0.739
6 As 0.252 0.500 0.261

---

Entry 13:
A relaxed structure of AcLaY2As4, computed with PBE-GGA.

Formation energy (kJ/mol of formula units): -1171
DFT total energy (Ry per atom): -0.48419

abc: 7.437 4.299 7.443
angles: 90.00 109.47 90.00
Space group P2/m (No. 10)
Inequivalent atoms, fractional coordinates:
1 Ac 0.000 0.000 0.000
2 La 0.000 0.500 0.500
3 Y 0.500 0.000 0.500
4 Y 0.500 0.500 0.000
5 As 0.266 0.000 0.751
6 As 0.269 0.500 0.261

---

Entry 14:
A relaxed structure of Ac2LaYAs4, computed with PBE-GGA.

Formation energy (kJ/mol of formula units): -1154
DFT total energy (Ry per atom): -0.46094

abc: 7.621 4.407 7.628
angles: 90.00 109.43 90.00
Space group P2/m (No. 10)
Inequivalent atoms, fractional coordinates:
1 Ac 0.000 0.000 0.000
2 Ac 0.500 0.500 0.000
3 La 0.000 0.500 0.500
4 Y 0.500 0.000 0.500
5 As 0.251 0.000 0.736
6 As 0.261 0.500 0.268

---

Entry 15:
A relaxed structure of AcLa3Y2As6, computed with PBE-GGA.

Formation energy (kJ/mol of formula units): -1767
DFT total energy (Ry per atom): -0.47790

abc: 7.500 12.991 7.488
angles: 90.00 109.56 90.00
Space group C2/m (No. 12)
Inequivalent atoms, fractional coordinates:
1 Ac 0.000 0.000 0.000
2 La 0.000 0.165 0.500
3 La 0.000 0.500 0.500
4 Y 0.000 0.333 0.000
5 As 0.235 0.500 0.244
6 As 0.245 0.327 0.755

---

Entry 16:
A relaxed structure of LiAcAs2, computed with PBE-GGA.

Formation energy (kJ/mol of formula units): -267
ΔE to the lowest computed polymorph (kJ/mol of atoms): 28.4
DFT total energy (Ry per atom): -0.33237

abc: 7.339 7.339 7.339
angles: 90.00 90.00 90.00
Space group Fm-3m (No. 225)
Inequivalent atoms, fractional coordinates:
1 Li 0.000 0.000 0.000
2 Ac 0.000 0.000 0.500
3 As 0.250 0.250 0.250

---

Entry 17:
A relaxed structure of LiAcAs2, computed with PBE-GGA.

Formation energy (kJ/mol of formula units): -278
ΔE to the lowest computed polymorph (kJ/mol of atoms): 25.5
DFT total energy (Ry per atom): -0.33453

abc: 4.856 4.856 4.197
angles: 90.00 90.00 90.00
Space group P4/mmm (No. 123)
Inequivalent atoms, fractional coordinates:
1 Li 0.000 0.000 0.000
2 Ac 0.500 0.500 0.000
3 As 0.000 0.500 0.500

---

Entry 18:
A relaxed structure of Li3AcAs2, computed with PBE-GGA.

Formation energy (kJ/mol of formula units): -528
DFT total energy (Ry per atom): -0.30166

abc: 16.130 4.281 7.982
angles: 90.00 115.81 90.00
Space group C2/m (No. 12)
Inequivalent atoms, fractional coordinates:
1 Li 0.063 0.000 0.413
2 Li 0.099 0.500 0.651
3 Li 0.193 0.500 0.471
4 Ac 0.132 0.000 0.042
5 As 0.025 0.500 0.234
6 As 0.210 0.000 0.724

---

Entry 19:
A relaxed structure of LiAcAs2, computed with PBE-GGA.

Formation energy (kJ/mol of formula units): -381
ΔE to the lowest computed polymorph (kJ/mol of atoms): 0.0
DFT total energy (Ry per atom): -0.35399

abc: 4.126 4.126 11.209
angles: 90.00 90.00 90.00
Space group P4/nmm (No. 129, origin choice 2)
Inequivalent atoms, fractional coordinates:
1 Li 0.250 0.750 0.000
2 Ac 0.250 0.250 0.267
3 As 0.250 0.250 0.853
4 As 0.250 0.750 0.500

---

Entry 20:
A relaxed structure of LiAcAs3, computed with PBE-GGA.

Formation energy (kJ/mol of formula units): -225
DFT total energy (Ry per atom): -0.32778

abc: 4.806 4.806 4.806
angles: 90.00 90.00 90.00
Space group Pm-3m (No. 221)
Inequivalent atoms, fractional coordinates:
1 Li 0.000 0.000 0.000
2 Ac 0.500 0.500 0.500
3 As 0.000 0.000 0.500

---

no.,mass density (g/cm3)
1,7.2
2,7.2
3,6.8
4,7.0
5,7.4
6,7.9
7,8.2
8,8.0
9,7.4
10,6.9
11,7.9
12,6.3
13,6.2
14,6.7
15,6.1
16,6.4
17,6.4
18,5.3
19,6.7
20,6.9